[1]
# CdAsW2

A geometry-optimized CdAsW2 structure (PBE, Alexandria).

Lattice parameters (Å, degrees): 3.072 3.090 7.194 90.00 90.00 90.00
Fractional positions:
Cd (0.000, 0.000, 0.000)
As (0.000, 0.000, 0.500)
W (0.500, 0.500, 0.299)
W (0.500, 0.500, 0.701)

Properties
V = 68 Å³ per cell
D(E_F) = 4.03 states/eV/cell
calculated formation energy = 0.5586 eV/atom
E above lowest polymorph = 223 meV/atom

---

[2]
# Ta2AsSe

A geometry-optimized Ta2AsSe structure (PBE, Alexandria).

Lattice parameters (Å, degrees): 6.796 6.796 6.796 127.08 127.08 78.13
Fractional positions:
Ta (0.125, 0.625, 0.000)
Ta (0.375, 0.375, 0.500)
Ta (0.625, 0.125, 0.000)
Ta (0.875, 0.875, 0.500)
As (0.000, 0.000, 0.000)
As (0.750, 0.250, 0.500)
Se (0.250, 0.750, 0.500)
Se (0.500, 0.500, 0.000)

Properties
V = 194 Å³ per cell
D(E_F) = 10.84 states/eV/cell
E above lowest polymorph = 885 meV/atom